# 1
{
  "formula": "LaNb2Cr",
  "functional": "PBE-GGA",
  "state": "relaxed",
  "cell": [[-4.4301, 0.2028, 1.6439], [-3.5264, 1.3195, -2.8622], [-3.2003, -3.1758, -1.4288]],
  "species": ["Nb", "Nb", "La", "Cr"],
  "fractional_positions": [[0.7500, 0.7500, 0.7500], [0.2500, 0.2500, 0.2500], [0.5000, 0.5000, 0.5000], [0.0000, 0.0000, 0.0000]],
  "e_tot_ev_per_atom": -8.11,
  "de_polymorph_ev_per_atom": 0.000,
  "delta_e_f_ev_per_atom": 0.562,
  "n_ef_per_ev_atom": 0.86,
  "m_tot_mub_per_fu": 0.0
}

---

# 2
{
  "formula": "La2Nb2Cr",
  "functional": "PBE-GGA",
  "state": "relaxed",
  "cell": [[-5.3772, -0.1413, 3.7588], [-0.3780, -6.5041, -0.7853], [3.1267, -0.7186, 4.4460]],
  "species": ["Nb", "Nb", "Nb", "Nb", "La", "La", "La", "La", "Cr", "Cr"],
  "fractional_positions": [[0.8470, 0.6530, 0.0000], [0.1530, 0.3470, 0.0000], [0.6530, 0.1530, 0.0000], [0.3470, 0.8470, 0.0000], [0.1706, 0.6706, 0.5000], [0.8294, 0.3294, 0.5000], [0.3294, 0.1706, 0.5000], [0.6706, 0.8294, 0.5000], [0.0000, 0.0000, 0.0000], [0.5000, 0.5000, 0.0000]],
  "e_tot_ev_per_atom": -7.46,
  "de_polymorph_ev_per_atom": 0.000,
  "delta_e_f_ev_per_atom": 0.468,
  "n_ef_per_ev_atom": 1.17,
  "m_tot_mub_per_fu": 0.4
}

---

# 3
{
  "formula": "LaNbCr2",
  "functional": "PBE-GGA",
  "state": "relaxed",
  "cell": [[-3.5850, -3.9491, -4.8504], [6.2397, -1.8702, -3.0891], [1.5012, -5.2071, -2.2277]],
  "species": ["Nb", "Nb", "La", "La", "Cr", "Cr", "Cr", "Cr"],
  "fractional_positions": [[0.5000, 0.5000, 0.0000], [0.2500, 0.7500, 0.5000], [0.0000, 0.0000, 0.0000], [0.7500, 0.2500, 0.5000], [0.8750, 0.8502, 0.7500], [0.1498, 0.6250, 0.2500], [0.6002, 0.1250, 0.2500], [0.3750, 0.3998, 0.7500]],
  "e_tot_ev_per_atom": -7.52,
  "delta_e_f_ev_per_atom": 1.037,
  "n_ef_per_ev_atom": 1.89,
  "m_tot_mub_per_fu": 0.0
}

---

# 4
{
  "formula": "La2Nb2Cr",
  "functional": "PBE-GGA",
  "state": "relaxed",
  "cell": [[3.8191, 0.0000, 0.0000], [0.0000, 3.8191, 0.0000], [1.9096, 1.9096, 9.3299]],
  "species": ["Nb", "Nb", "La", "La", "Cr"],
  "fractional_positions": [[0.2500, 0.7500, 0.5000], [0.7500, 0.2500, 0.5000], [0.3973, 0.3973, 0.2055], [0.6027, 0.6027, 0.7945], [0.0000, 0.0000, 0.0000]],
  "e_tot_ev_per_atom": -7.24,
  "de_polymorph_ev_per_atom": 0.220,
  "delta_e_f_ev_per_atom": 0.687,
  "n_ef_per_ev_atom": 1.29,
  "m_tot_mub_per_fu": 4.8
}